# 1
Material: HfBeZnFe
Method: DFT, PBE
State: optimized geometry

Summary:
SG = F-43m, No. 216
Energy relative to the lowest polymorph listed for this composition = 0.0 meV/atom

Cell lengths 4.2556, 4.2556, 4.2556 Å; angles 60.00, 60.00, 60.00 degrees
Fractional positions:
Be (0.5000, 0.5000, 0.5000)
Fe (0.7500, 0.7500, 0.7500)
Hf (0.2500, 0.2500, 0.2500)
Zn (0.0000, 0.0000, 0.0000)


# 2
Material: CoCu2NiH6
Method: DFT, PBE
State: optimized geometry

Summary:
SG = Fm-3m, No. 225
Final energy = -3.8612 eV/atom

Cell lengths 4.4990, 4.4990, 4.4990 Å; angles 60.00, 60.00, 60.00 degrees
Fractional positions:
Co (0.0000, 0.0000, 0.0000)
Cu (0.2500, 0.2500, 0.2500)
Cu (0.7500, 0.7500, 0.7500)
H (0.7533, 0.2467, 0.2467)
H (0.2467, 0.7533, 0.2467)
H (0.7533, 0.7533, 0.2467)
H (0.2467, 0.2467, 0.7533)
H (0.7533, 0.2467, 0.7533)
H (0.2467, 0.7533, 0.7533)
Ni (0.5000, 0.5000, 0.5000)


# 3
Material: Rb2Sb2Os
Method: DFT, PBE
State: optimized geometry

Summary:
SG = Cmcm, No. 63
Final energy = -4.2122 eV/atom

Cell lengths 8.9181, 8.9181, 5.8506 Å; angles 90.00, 90.00, 131.26 degrees
Fractional positions:
Os (0.0000, 0.0000, 0.0000)
Os (0.0000, 0.0000, 0.5000)
Rb (0.5923, 0.4077, 0.2500)
Rb (0.2082, 0.7919, 0.2500)
Rb (0.7919, 0.2082, 0.7500)
Rb (0.4077, 0.5923, 0.7500)
Sb (0.1127, 0.3114, 0.2500)
Sb (0.6886, 0.8873, 0.2500)
Sb (0.3114, 0.1127, 0.7500)
Sb (0.8873, 0.6886, 0.7500)


# 4
Material: Zr3Ni
Method: DFT, PBE
State: optimized geometry

Summary:
SG = Pmmn, No. 59
ΔH_f (0 K) = 0.0 eV/f.u.

Cell lengths 5.5064, 5.7638, 4.9220 Å; angles 90.00, 90.00, 90.00 degrees
Fractional positions:
Ni (0.0001, 0.0000, 0.0000)
Ni (0.3332, 0.5000, 0.5000)
Zr (0.5438, 0.2498, 0.0000)
Zr (0.0666, 0.5000, 0.0000)
Zr (0.5438, 0.7502, 0.0000)
Zr (0.2667, 0.0000, 0.5000)
Zr (0.7896, 0.2502, 0.5000)
Zr (0.7896, 0.7498, 0.5000)


# 5
Material: NaNdZnTe3
Method: DFT, PBE
State: optimized geometry

Summary:
SG = Pnma, No. 62
Energy relative to the lowest polymorph listed for this composition = 15.3 meV/atom

Cell lengths 15.0954, 4.3875, 12.0719 Å; angles 90.00, 90.00, 90.00 degrees
Fractional positions:
Na (0.2306, 0.2500, 0.0619)
Na (0.7306, 0.2500, 0.4381)
Na (0.2694, 0.7500, 0.5619)
Na (0.7694, 0.7500, 0.9381)
Nd (0.5174, 0.2500, 0.1593)
Nd (0.0174, 0.2500, 0.3407)
Nd (0.9826, 0.7500, 0.6593)
Nd (0.4826, 0.7500, 0.8407)
Te (0.3853, 0.7500, 0.0706)
Te (0.9027, 0.2500, 0.1077)
Te (0.1442, 0.7500, 0.2391)
Te (0.6442, 0.7500, 0.2609)
Te (0.4027, 0.2500, 0.3923)
Te (0.8853, 0.7500, 0.4294)
Te (0.1147, 0.2500, 0.5706)
Te (0.5973, 0.7500, 0.6077)
Te (0.3558, 0.2500, 0.7391)
Te (0.8558, 0.2500, 0.7609)
Te (0.0973, 0.7500, 0.8923)
Te (0.6147, 0.2500, 0.9294)
Zn (0.0117, 0.7500, 0.0958)
Zn (0.5117, 0.7500, 0.4042)
Zn (0.4883, 0.2500, 0.5958)
Zn (0.9883, 0.2500, 0.9042)


# 6
Material: ZrInCoTc
Method: DFT, PBE
State: optimized geometry

Summary:
SG = F-43m, No. 216
Energy relative to the lowest polymorph listed for this composition = 321.1 meV/atom

Cell lengths 4.5731, 4.5731, 4.5731 Å; angles 60.00, 60.00, 60.00 degrees
Fractional positions:
Co (0.7500, 0.7500, 0.7500)
In (0.0000, 0.0000, 0.0000)
Tc (0.5000, 0.5000, 0.5000)
Zr (0.2500, 0.2500, 0.2500)